# 1
{
  "formula": "YBeOs2",
  "functional": "GGA-PBEsol",
  "state": "optimized geometry",
  "dft_energy_ev_per_atom": -8.254,
  "magmom_total_mub_per_atom": 0.00,
  "ef_ev_per_atom": 0.56,
  "dos_at_fermi_per_ev_cell": 5.66,
  "volume_a3_per_atom": 15.62,
  "spacegroup": "Cmmm (65)",
  "cell": [[5.338, 0.000, 0.000], [0.000, 7.736, 0.000], [0.000, 0.000, 3.026]],
  "species": ["Y", "Y", "Be", "Be", "Os", "Os", "Os", "Os"],
  "frac_coords": [[0.000, 0.000, 0.000], [0.500, 0.500, 0.000], [0.000, 0.500, 0.000], [0.500, 0.000, 0.000], [0.250, 0.250, 0.500], [0.250, 0.750, 0.500], [0.750, 0.250, 0.500], [0.750, 0.750, 0.500]]
}


# 2
{
  "formula": "TaFe2Ni",
  "functional": "GGA-PBEsol",
  "state": "optimized geometry",
  "dft_energy_ev_per_atom": -9.338,
  "magmom_total_mub_per_atom": 0.66,
  "ef_ev_per_atom": -0.18,
  "dos_at_fermi_per_ev_cell": 3.57,
  "volume_a3_per_atom": 11.99,
  "spacegroup": "P4/mmm (123)",
  "cell": [[3.631, 0.000, 0.000], [0.000, 3.631, 0.000], [0.000, 0.000, 3.637]],
  "species": ["Ta", "Fe", "Fe", "Ni"],
  "frac_coords": [[0.000, 0.000, 0.000], [0.000, 0.500, 0.500], [0.500, 0.000, 0.500], [0.500, 0.500, 0.000]]
}


# 3
{
  "formula": "BaCrTc",
  "functional": "GGA-PBEsol",
  "state": "optimized geometry",
  "dft_energy_ev_per_atom": -7.126,
  "magmom_total_mub_per_atom": 0.29,
  "ef_ev_per_atom": 0.76,
  "dos_at_fermi_per_ev_cell": 6.88,
  "volume_a3_per_atom": 20.84,
  "spacegroup": "I4mm (107)",
  "cell": [[3.155, 0.000, 0.000], [0.000, 3.155, 0.000], [0.000, 0.000, 12.560]],
  "species": ["Ba", "Ba", "Cr", "Cr", "Tc", "Tc"],
  "frac_coords": [[0.000, 0.000, 0.000], [0.500, 0.500, 0.500], [0.000, 0.000, 0.715], [0.500, 0.500, 0.215], [0.000, 0.000, 0.289], [0.500, 0.500, 0.789]]
}


# 4
{
  "formula": "YBe2P",
  "functional": "GGA-PBEsol",
  "state": "optimized geometry",
  "dft_energy_ev_per_atom": -5.017,
  "magmom_total_mub_per_atom": 0.00,
  "ef_ev_per_atom": 0.14,
  "dos_at_fermi_per_ev_cell": 4.90,
  "volume_a3_per_atom": 17.07,
  "spacegroup": "Fmmm (69)",
  "cell": [[5.272, 0.000, 0.000], [0.000, 5.306, 0.000], [0.000, 0.000, 9.762]],
  "species": ["Y", "Y", "Y", "Y", "Be", "Be", "Be", "Be", "Be", "Be", "Be", "Be", "P", "P", "P", "P"],
  "frac_coords": [[0.000, 0.000, 0.000], [0.000, 0.500, 0.500], [0.500, 0.000, 0.500], [0.500, 0.500, 0.000], [0.250, 0.000, 0.250], [0.250, 0.000, 0.750], [0.250, 0.500, 0.250], [0.250, 0.500, 0.750], [0.750, 0.000, 0.250], [0.750, 0.000, 0.750], [0.750, 0.500, 0.250], [0.750, 0.500, 0.750], [0.000, 0.000, 0.500], [0.000, 0.500, 0.000], [0.500, 0.000, 0.000], [0.500, 0.500, 0.500]]
}


# 5
{
  "formula": "NiTe2Ru",
  "functional": "GGA-PBEsol",
  "state": "optimized geometry",
  "dft_energy_ev_per_atom": -5.757,
  "magmom_total_mub_per_atom": 0.00,
  "formation_energy_uncorrected_ev_per_atom": 0.09,
  "dos_at_fermi_per_ev_cell": 5.43,
  "volume_a3_per_atom": 20.16,
  "spacegroup": "Imm2 (44)",
  "cell": [[3.244, 0.000, 0.000], [0.000, 3.702, 0.000], [0.000, 0.000, 13.432]],
  "species": ["Ni", "Ni", "Te", "Te", "Te", "Te", "Ru", "Ru"],
  "frac_coords": [[0.000, 0.000, 0.000], [0.500, 0.500, 0.500], [0.000, 0.000, 0.537], [0.000, 0.500, 0.280], [0.500, 0.000, 0.780], [0.500, 0.500, 0.037], [0.000, 0.500, 0.870], [0.500, 0.000, 0.370]]
}


# 6
{
  "formula": "LiYOs2",
  "functional": "GGA-PBEsol",
  "state": "optimized geometry",
  "dft_energy_ev_per_atom": -7.856,
  "magmom_total_mub_per_atom": 0.00,
  "ef_ev_per_atom": 0.45,
  "dos_at_fermi_per_ev_cell": 6.69,
  "volume_a3_per_atom": 16.48,
  "spacegroup": "Cmmm (65)",
  "cell": [[5.104, 0.000, 0.000], [0.000, 8.629, 0.000], [0.000, 0.000, 2.993]],
  "species": ["Li", "Li", "Y", "Y", "Os", "Os", "Os", "Os"],
  "frac_coords": [[0.000, 0.000, 0.000], [0.500, 0.500, 0.000], [0.000, 0.500, 0.000], [0.500, 0.000, 0.000], [0.250, 0.250, 0.500], [0.250, 0.750, 0.500], [0.750, 0.250, 0.500], [0.750, 0.750, 0.500]]
}


# 7
{
  "formula": "Mg3Zr",
  "functional": "GGA-PBEsol",
  "state": "optimized geometry",
  "dft_energy_ev_per_atom": -3.501,
  "magmom_total_mub_per_atom": 0.00,
  "ef_ev_per_atom": 0.06,
  "dos_at_fermi_per_ev_cell": 10.40,
  "volume_a3_per_atom": 21.88,
  "spacegroup": "Pnma (62)",
  "cell": [[5.369, 0.000, 0.000], [0.000, 10.327, 0.000], [0.000, 0.000, 6.314]],
  "species": ["Mg", "Mg", "Mg", "Mg", "Mg", "Mg", "Mg", "Mg", "Mg", "Mg", "Mg", "Mg", "Zr", "Zr", "Zr", "Zr"],
  "frac_coords": [[0.075, 0.250, 0.137], [0.250, 0.005, 0.390], [0.250, 0.495, 0.390], [0.250, 0.505, 0.890], [0.250, 0.995, 0.890], [0.425, 0.750, 0.637], [0.575, 0.250, 0.363], [0.750, 0.005, 0.110], [0.750, 0.495, 0.110], [0.750, 0.505, 0.610], [0.750, 0.995, 0.610], [0.925, 0.750, 0.863], [0.057, 0.250, 0.663], [0.443, 0.750, 0.163], [0.557, 0.250, 0.837], [0.943, 0.750, 0.337]]
}


# 8
{
  "formula": "TcCl3",
  "functional": "GGA-PBEsol",
  "state": "optimized geometry",
  "dft_energy_ev_per_atom": -4.653,
  "magmom_total_mub_per_atom": 0.50,
  "formation_energy_uncorrected_ev_per_atom": -0.33,
  "dos_at_fermi_per_ev_cell": 6.81,
  "volume_a3_per_atom": 24.69,
  "spacegroup": "Cmcm (63)",
  "cell": [[10.144, 0.000, 0.000], [0.000, 12.316, 0.000], [0.000, 0.000, 3.162]],
  "species": ["Tc", "Tc", "Tc", "Tc", "Cl", "Cl", "Cl", "Cl", "Cl", "Cl", "Cl", "Cl", "Cl", "Cl", "Cl", "Cl"],
  "frac_coords": [[0.000, 0.212, 0.250], [0.000, 0.788, 0.750], [0.500, 0.288, 0.750], [0.500, 0.712, 0.250], [0.000, 0.358, 0.750], [0.000, 0.642, 0.250], [0.151, 0.137, 0.750], [0.151, 0.863, 0.250], [0.349, 0.363, 0.250], [0.349, 0.637, 0.750], [0.500, 0.142, 0.250], [0.500, 0.858, 0.750], [0.651, 0.363, 0.250], [0.651, 0.637, 0.750], [0.849, 0.137, 0.750], [0.849, 0.863, 0.250]]
}